1.
TlB2RhC | PBE-GGA | optimized geometry

Unit cell a=3.967 b=3.967 c=5.473 alpha=90.00 beta=90.00 gamma=90.00
Sites, in units of the cell vectors:
Tl (0.000, 0.000, 0.000)
B (0.000, 0.500, 0.500)
B (0.500, 0.000, 0.500)
Rh (0.000, 0.000, 0.500)
C (0.500, 0.500, 0.000)

Summary:
**M_tot**: 1.6 μB/f.u.
**Crystal system**: tetragonal
**Formation energy from the elements**: 1.76 eV per atom
**VASP energy**: -0.345 Ry/atom

***

2.
BRhWC2 | PBE-GGA | optimized geometry

Unit cell a=3.643 b=3.643 c=5.605 alpha=90.00 beta=90.00 gamma=90.00
Sites, in units of the cell vectors:
B (0.000, 0.000, 0.000)
Rh (0.500, 0.500, 0.500)
W (0.500, 0.500, 0.000)
C (0.000, 0.500, 0.500)
C (0.500, 0.000, 0.500)

Summary:
**M_tot**: 0.0 μB/f.u.
**Crystal system**: tetragonal
**Formation energy from the elements**: 2.28 eV per atom
**VASP energy**: -0.500 Ry/atom

***

3.
B2RuC2 | PBE-GGA | optimized geometry

Unit cell a=3.576 b=3.576 c=6.038 alpha=90.00 beta=90.00 gamma=90.00
Sites, in units of the cell vectors:
B (0.000, 0.000, 0.143)
B (0.000, 0.000, 0.857)
B (0.500, 0.500, 0.357)
B (0.500, 0.500, 0.643)
Ru (0.000, 0.000, 0.500)
Ru (0.500, 0.500, 0.000)
C (0.000, 0.500, 0.250)
C (0.000, 0.500, 0.750)
C (0.500, 0.000, 0.250)
C (0.500, 0.000, 0.750)

Summary:
**Offset from the most stable computed form**: 679 meV per atom
**M_tot**: 0.0 μB/f.u.
**Crystal system**: tetragonal
**Formation energy from the elements**: 1.55 eV per atom
**VASP energy**: -0.490 Ry/atom

***

4.
BRu2C | PBE-GGA | optimized geometry

Unit cell a=5.374 b=5.374 c=5.374 alpha=90.00 beta=90.00 gamma=90.00
Sites, in units of the cell vectors:
B (0.000, 0.000, 0.000)
B (0.000, 0.500, 0.500)
B (0.500, 0.000, 0.500)
B (0.500, 0.500, 0.000)
Ru (0.250, 0.250, 0.250)
Ru (0.250, 0.250, 0.750)
Ru (0.250, 0.750, 0.250)
Ru (0.250, 0.750, 0.750)
Ru (0.750, 0.250, 0.250)
Ru (0.750, 0.250, 0.750)
Ru (0.750, 0.750, 0.250)
Ru (0.750, 0.750, 0.750)
C (0.000, 0.000, 0.500)
C (0.000, 0.500, 0.000)
C (0.500, 0.000, 0.000)
C (0.500, 0.500, 0.500)

Summary:
**Offset from the most stable computed form**: 191 meV per atom
**M_tot**: 0.0 μB/f.u.
**Crystal system**: cubic
**Formation energy from the elements**: 0.67 eV per atom
**VASP energy**: -0.584 Ry/atom

***

5.
BRuC | PBE-GGA | optimized geometry

Unit cell a=2.801 b=3.176 c=13.392 alpha=90.00 beta=90.00 gamma=90.00
Sites, in units of the cell vectors:
B (0.000, 0.249, 0.000)
B (0.000, 0.751, 0.000)
B (0.500, 0.251, 0.500)
B (0.500, 0.749, 0.500)
Ru (0.000, 0.000, 0.168)
Ru (0.000, 0.000, 0.832)
Ru (0.500, 0.500, 0.332)
Ru (0.500, 0.500, 0.668)
C (0.000, 0.000, 0.332)
C (0.000, 0.000, 0.668)
C (0.500, 0.500, 0.168)
C (0.500, 0.500, 0.832)

Summary:
**M_tot**: 0.0 μB/f.u.
**Crystal system**: orthorhombic
**Formation energy from the elements**: 0.92 eV per atom
**VASP energy**: -0.549 Ry/atom

***

6.
BRuC3 | PBE-GGA | optimized geometry

Unit cell a=3.452 b=3.452 c=3.452 alpha=90.00 beta=90.00 gamma=90.00
Sites, in units of the cell vectors:
B (0.000, 0.000, 0.000)
Ru (0.500, 0.500, 0.500)
C (0.000, 0.000, 0.500)
C (0.000, 0.500, 0.000)
C (0.500, 0.000, 0.000)

Summary:
**Offset from the most stable computed form**: 0 meV per atom
**M_tot**: 0.0 μB/f.u.
**Crystal system**: cubic
**Formation energy from the elements**: 2.31 eV per atom
**VASP energy**: -0.472 Ry/atom

***

7.
BRu2C | PBE-GGA | optimized geometry

Unit cell a=4.741 b=4.741 c=8.796 alpha=90.00 beta=90.00 gamma=90.00
Sites, in units of the cell vectors:
B (0.000, 0.000, 0.000)
B (0.000, 0.500, 0.250)
B (0.500, 0.000, 0.750)
B (0.500, 0.500, 0.500)
Ru (0.235, 0.250, 0.625)
Ru (0.250, 0.735, 0.875)
Ru (0.250, 0.765, 0.375)
Ru (0.265, 0.250, 0.125)
Ru (0.735, 0.750, 0.125)
Ru (0.750, 0.235, 0.375)
Ru (0.750, 0.265, 0.875)
Ru (0.765, 0.750, 0.625)
C (0.000, 0.000, 0.500)
C (0.000, 0.500, 0.750)
C (0.500, 0.000, 0.250)
C (0.500, 0.500, 0.000)

Summary:
**Offset from the most stable computed form**: 0 meV per atom
**M_tot**: 0.7 μB/f.u.
**Crystal system**: tetragonal
**Formation energy from the elements**: 0.48 eV per atom
**VASP energy**: -0.598 Ry/atom

***

8.
BRuC3 | PBE-GGA | optimized geometry

Unit cell a=3.960 b=3.960 c=3.960 alpha=90.00 beta=90.00 gamma=90.00
Sites, in units of the cell vectors:
B (0.000, 0.000, 0.000)
Ru (0.500, 0.500, 0.500)
C (0.000, 0.500, 0.500)
C (0.500, 0.000, 0.500)
C (0.500, 0.500, 0.000)

Summary:
**Offset from the most stable computed form**: 557 meV per atom
**M_tot**: 0.0 μB/f.u.
**Crystal system**: cubic
**Formation energy from the elements**: 2.86 eV per atom
**VASP energy**: -0.431 Ry/atom

***

9.
B2RuC2 | PBE-GGA | optimized geometry

Unit cell a=5.657 b=5.657 c=2.752 alpha=90.00 beta=90.00 gamma=90.00
Sites, in units of the cell vectors:
B (0.109, 0.391, 0.000)
B (0.391, 0.891, 0.000)
B (0.609, 0.109, 0.000)
B (0.891, 0.609, 0.000)
Ru (0.000, 0.000, 0.000)
Ru (0.500, 0.500, 0.000)
C (0.184, 0.316, 0.500)
C (0.316, 0.816, 0.500)
C (0.684, 0.184, 0.500)
C (0.816, 0.684, 0.500)

Summary:
**Offset from the most stable computed form**: 0 meV per atom
**M_tot**: 0.0 μB/f.u.
**Crystal system**: tetragonal
**Formation energy from the elements**: 0.87 eV per atom
**VASP energy**: -0.540 Ry/atom

***

10.
SmBRu2C | PBE-GGA | optimized geometry

Unit cell a=5.694 b=5.694 c=7.128 alpha=90.00 beta=90.00 gamma=142.95
Sites, in units of the cell vectors:
Sm (0.051, 0.949, 0.750)
Sm (0.949, 0.051, 0.250)
B (0.222, 0.778, 0.250)
B (0.778, 0.222, 0.750)
Ru (0.329, 0.671, 0.567)
Ru (0.329, 0.671, 0.933)
Ru (0.671, 0.329, 0.067)
Ru (0.671, 0.329, 0.433)
C (0.500, 0.500, 0.000)
C (0.500, 0.500, 0.500)

Summary:
**M_tot**: 0.0 μB/f.u.
**Crystal system**: orthorhombic
**Formation energy from the elements**: -0.26 eV per atom
**VASP energy**: -0.595 Ry/atom

***

11.
Sm2B2Ru2C | PBE-GGA | optimized geometry

Unit cell a=10.933 b=3.729 c=6.736 alpha=90.00 beta=126.47 gamma=90.00
Sites, in units of the cell vectors:
Sm (0.064, 0.000, 0.320)
Sm (0.436, 0.500, 0.680)
Sm (0.564, 0.500, 0.320)
Sm (0.936, 0.000, 0.680)
B (0.192, 0.500, 0.758)
B (0.308, 0.000, 0.242)
B (0.692, 0.000, 0.758)
B (0.808, 0.500, 0.242)
Ru (0.203, 0.500, 0.097)
Ru (0.297, 0.000, 0.903)
Ru (0.703, 0.000, 0.097)
Ru (0.797, 0.500, 0.903)
C (0.000, 0.500, 0.000)
C (0.500, 0.000, 0.000)

Summary:
**M_tot**: 0.0 μB/f.u.
**Crystal system**: monoclinic
**Formation energy from the elements**: -0.42 eV per atom
**VASP energy**: -0.562 Ry/atom

***

12.
Tb2B2Ru2C | PBE-GGA | optimized geometry

Unit cell a=10.849 b=3.681 c=6.632 alpha=90.00 beta=126.83 gamma=90.00
Sites, in units of the cell vectors:
Tb (0.064, 0.000, 0.319)
Tb (0.436, 0.500, 0.681)
Tb (0.564, 0.500, 0.319)
Tb (0.936, 0.000, 0.681)
B (0.184, 0.500, 0.747)
B (0.316, 0.000, 0.253)
B (0.684, 0.000, 0.747)
B (0.816, 0.500, 0.253)
Ru (0.206, 0.500, 0.102)
Ru (0.294, 0.000, 0.898)
Ru (0.706, 0.000, 0.102)
Ru (0.794, 0.500, 0.898)
C (0.000, 0.500, 0.000)
C (0.500, 0.000, 0.000)

Summary:
**M_tot**: 0.0 μB/f.u.
**Crystal system**: monoclinic
**Formation energy from the elements**: -0.47 eV per atom
**VASP energy**: -0.563 Ry/atom